Entry 1:
A plane-wave DFT calculation with GGA-PBE was carried out for a relaxed Sb2Pb2Br crystal.

Values from the calculation:
* electronic total energy: -3.532 eV per atom
* space-group type: P4/mbm, No. 127

Lattice parameters (Å, degrees): 8.938 8.938 4.109 90.00 90.00 90.00
Element x y z (fractional)
1 Pb 0.333 0.833 0.000
2 Pb 0.833 0.667 0.000
3 Pb 0.667 0.167 0.000
4 Pb 0.167 0.333 0.000
5 Sb 0.115 0.615 0.500
6 Sb 0.615 0.885 0.500
7 Sb 0.885 0.385 0.500
8 Sb 0.385 0.115 0.500
9 Br 0.000 0.000 0.000
10 Br 0.500 0.500 0.000

Entry 2:
A plane-wave DFT calculation with GGA-PBE was carried out for a relaxed Sb4PbBr crystal.

Values from the calculation:
* electronic total energy: -3.536 eV per atom
* space-group type: F-43m, No. 216

Lattice parameters (Å, degrees): 6.387 6.387 6.387 60.00 60.00 60.00
Element x y z (fractional)
1 Sb 0.852 0.383 0.383
2 Sb 0.383 0.383 0.852
3 Sb 0.383 0.852 0.383
4 Sb 0.383 0.383 0.383
5 Pb 0.000 0.000 0.000
6 Br 0.750 0.750 0.750

Entry 3:
A plane-wave DFT calculation with GGA-PBE was carried out for a relaxed Sb2PbBr crystal.

Values from the calculation:
* electronic total energy: -3.435 eV per atom
* space-group type: Pmmm, No. 47

Lattice parameters (Å, degrees): 4.380 4.344 6.468 90.00 90.00 90.00
Element x y z (fractional)
1 Pb 0.000 0.500 0.500
2 Sb 0.000 0.000 0.000
3 Sb 0.500 0.500 0.000
4 Br 0.500 0.000 0.500

- Among the records above, which one has the highest electronic total energy?
  Sb2PbBr